<a>
# HfMo2Cl (GGA-PBE, optimized geometry)
data_HfMo2Cl
_space_group_name_H-M_alt 'F m -3 m'
_space_group_IT_number 225
_space_group_name_Hall '-F 4 2 3'
_cell_length_a 6.4970
_cell_length_b 6.4970
_cell_length_c 6.4970
_cell_angle_alpha 90.00
_cell_angle_beta 90.00
_cell_angle_gamma 90.00
loop_
_atom_site_label
_atom_site_fract_x
_atom_site_fract_y
_atom_site_fract_z
_atom_site_occupancy
Hf1 0.0000 0.0000 0.0000 1
Mo1 0.2500 0.2500 0.2500 1
Cl1 0.0000 0.0000 0.5000 1
# Total magnetization in μB/atom: 0.0000
# N(E_F) in states/eV/f.u.: 8.1
# Calculated density in g cm⁻³: 9.83


<b>
# HfMo2Cl (GGA-PBE, optimized geometry)
data_HfMo2Cl
_space_group_name_H-M_alt 'I -4 2 d'
_space_group_IT_number 122
_space_group_name_Hall 'I -4 2bw'
_cell_length_a 7.5153
_cell_length_b 7.5153
_cell_length_c 5.0465
_cell_angle_alpha 90.00
_cell_angle_beta 90.00
_cell_angle_gamma 90.00
loop_
_atom_site_label
_atom_site_fract_x
_atom_site_fract_y
_atom_site_fract_z
_atom_site_occupancy
Hf1 0.0000 0.0000 0.0000 1
Mo1 0.1587 0.2500 0.6250 1
Cl1 0.0000 0.0000 0.5000 1
# Total magnetization in μB/atom: 0.0000
# N(E_F) in states/eV/f.u.: 4.0
# Calculated density in g cm⁻³: 9.46


What is the stability order? It is <b>, <a>, from most stable to least stable.


<a>
# HfMoP2Cl (GGA-PBE, optimized geometry)
data_HfMoP2Cl
_space_group_name_H-M_alt 'P 4/m m m'
_space_group_IT_number 123
_space_group_name_Hall '-P 4 2'
_cell_length_a 4.6835
_cell_length_b 4.6835
_cell_length_c 4.6844
_cell_angle_alpha 90.00
_cell_angle_beta 90.00
_cell_angle_gamma 90.00
loop_
_atom_site_label
_atom_site_fract_x
_atom_site_fract_y
_atom_site_fract_z
_atom_site_occupancy
Hf1 0.0000 0.0000 0.0000 1
Mo1 0.5000 0.5000 0.5000 1
P1 0.0000 0.5000 0.5000 1
Cl1 0.5000 0.5000 0.0000 1
# Total magnetization in μB/atom: 0.1986
# N(E_F) in states/eV/f.u.: 5.6
# Calculated density in g cm⁻³: 6.01


<b>
# HfMoP2Cl (GGA-PBE, optimized geometry)
data_HfMoP2Cl
_space_group_name_H-M_alt 'P 4/m m m'
_space_group_IT_number 123
_space_group_name_Hall '-P 4 2'
_cell_length_a 5.0278
_cell_length_b 5.0278
_cell_length_c 4.7912
_cell_angle_alpha 90.00
_cell_angle_beta 90.00
_cell_angle_gamma 90.00
loop_
_atom_site_label
_atom_site_fract_x
_atom_site_fract_y
_atom_site_fract_z
_atom_site_occupancy
Hf1 0.0000 0.0000 0.0000 1
Mo1 0.5000 0.5000 0.5000 1
P1 0.0000 0.5000 0.0000 1
Cl1 0.0000 0.0000 0.5000 1
# Total magnetization in μB/atom: 0.7454
# N(E_F) in states/eV/f.u.: 2.5
# Calculated density in g cm⁻³: 5.10


What is the stability order? It is <a>, <b>, from most stable to least stable.


<a>
# HfMoS2Cl (GGA-PBE, optimized geometry)
data_HfMoS2Cl
_space_group_name_H-M_alt 'P 4/m m m'
_space_group_IT_number 123
_space_group_name_Hall '-P 4 2'
_cell_length_a 4.9570
_cell_length_b 4.9570
_cell_length_c 4.9095
_cell_angle_alpha 90.00
_cell_angle_beta 90.00
_cell_angle_gamma 90.00
loop_
_atom_site_label
_atom_site_fract_x
_atom_site_fract_y
_atom_site_fract_z
_atom_site_occupancy
Hf1 0.0000 0.0000 0.0000 1
Mo1 0.5000 0.5000 0.5000 1
S1 0.0000 0.5000 0.0000 1
Cl1 0.0000 0.0000 0.5000 1
# Total magnetization in μB/atom: 0.9715
# N(E_F) in states/eV/f.u.: 2.6
# Calculated density in g cm⁻³: 5.15


<b>
# HfMoS2Cl (GGA-PBE, optimized geometry)
data_HfMoS2Cl
_space_group_name_H-M_alt 'P 4/m m m'
_space_group_IT_number 123
_space_group_name_Hall '-P 4 2'
_cell_length_a 4.6876
_cell_length_b 4.6876
_cell_length_c 4.6996
_cell_angle_alpha 90.00
_cell_angle_beta 90.00
_cell_angle_gamma 90.00
loop_
_atom_site_label
_atom_site_fract_x
_atom_site_fract_y
_atom_site_fract_z
_atom_site_occupancy
Hf1 0.0000 0.0000 0.0000 1
Mo1 0.5000 0.5000 0.5000 1
S1 0.0000 0.5000 0.5000 1
Cl1 0.5000 0.5000 0.0000 1
# Total magnetization in μB/atom: 0.4270
# N(E_F) in states/eV/f.u.: 6.3
# Calculated density in g cm⁻³: 6.01


What is the stability order? It is <a>, <b>, from most stable to least stable.


<a>
# HfNCl2 (GGA-PBE, optimized geometry)
data_HfNCl2
_space_group_name_H-M_alt 'I -4 2 d'
_space_group_IT_number 122
_space_group_name_Hall 'I -4 2bw'
_cell_length_a 9.5541
_cell_length_b 9.5541
_cell_length_c 4.0762
_cell_angle_alpha 90.00
_cell_angle_beta 90.00
_cell_angle_gamma 90.00
loop_
_atom_site_label
_atom_site_fract_x
_atom_site_fract_y
_atom_site_fract_z
_atom_site_occupancy
Hf1 0.0000 0.0000 0.0000 1
N1 0.0000 0.0000 0.5000 1
Cl1 0.0861 0.2500 0.1250 1
# Total magnetization in μB/atom: 0.2500
# N(E_F) in states/eV/f.u.: 2.1
# Calculated density in g cm⁻³: 4.70


<b>
# HfNCl2 (GGA-PBE, optimized geometry)
data_HfNCl2
_space_group_name_H-M_alt 'F m -3 m'
_space_group_IT_number 225
_space_group_name_Hall '-F 4 2 3'
_cell_length_a 6.2084
_cell_length_b 6.2084
_cell_length_c 6.2084
_cell_angle_alpha 90.00
_cell_angle_beta 90.00
_cell_angle_gamma 90.00
loop_
_atom_site_label
_atom_site_fract_x
_atom_site_fract_y
_atom_site_fract_z
_atom_site_occupancy
Hf1 0.0000 0.0000 0.0000 1
N1 0.0000 0.0000 0.5000 1
Cl1 0.2500 0.2500 0.2500 1
# Total magnetization in μB/atom: 0.2500
# N(E_F) in states/eV/f.u.: 1.5
# Calculated density in g cm⁻³: 7.31


<c>
# HfNCl2 (GGA-PBE, optimized geometry)
data_HfNCl2
_space_group_name_H-M_alt 'R -3 m'
_space_group_IT_number 166
_space_group_name_Hall '-R 3 2"'
_cell_length_a 3.2845
_cell_length_b 3.2845
_cell_length_c 31.0052
_cell_angle_alpha 90.00
_cell_angle_beta 90.00
_cell_angle_gamma 120.00
loop_
_atom_site_label
_atom_site_fract_x
_atom_site_fract_y
_atom_site_fract_z
_atom_site_occupancy
Hf1 0.0000 0.0000 0.0000 1
N1 0.0000 0.0000 0.5000 1
Cl1 0.0000 0.0000 0.3913 1
# Total magnetization in μB/atom: 0.7281
# N(E_F) in states/eV/f.u.: 1.4
# Calculated density in g cm⁻³: 4.53


What is the stability order? It is <a>, <c>, <b>, from most stable to least stable.